## BaMgGa2Os (PBE-GGA)

Data for crystalline BaMgGa2Os at its relaxed geometry.

Calculated values
* symmetry: No. 123
* electronic total energy: -4.46 eV/atom
* magnetization: 0.00 Bohr magnetons per cell
* calculated formation energy: -296 meV/atom
* V: 24.58 Å³/atom

Unit cell a=4.9057 b=4.9057 c=5.1058 alpha=90.00 beta=90.00 gamma=90.00
Last column: nearest neighbours and their distance in Å.
Sites, in units of the cell vectors:
Os1 0.0000 0.0000 0.0000  4 Ga 2.45, 2 Mg 2.55
Mg1 0.0000 0.0000 0.5000  2 Os 2.55
Ba1 0.5000 0.5000 0.5000  4 Mg 3.47, 8 Ga 3.54
Ga1 0.5000 0.0000 0.0000  2 Os 2.45
Ga2 0.0000 0.5000 0.0000  2 Os 2.45

---

## BaMg2GaOs (PBE-GGA)

Data for crystalline BaMg2GaOs at its relaxed geometry.

Calculated values
* symmetry: No. 123
* electronic total energy: -3.96 eV/atom
* magnetization: 0.00 Bohr magnetons per cell
* calculated formation energy: -91 meV/atom
* V: 26.03 Å³/atom

Unit cell a=5.1375 b=5.1375 c=4.9314 alpha=90.00 beta=90.00 gamma=90.00
Last column: nearest neighbours and their distance in Å.
Sites, in units of the cell vectors:
Mg1 0.0000 0.5000 0.0000  2 Os 2.57
Os1 0.0000 0.0000 0.0000  2 Ga 2.47, 4 Mg 2.57
Mg2 0.5000 0.0000 0.0000  2 Os 2.57
Ba1 0.5000 0.5000 0.5000  8 Mg 3.56, 4 Ga 3.63
Ga1 0.0000 0.0000 0.5000  2 Os 2.47

---

## Ba2MgGa2P4 (PBE-GGA)

Data for crystalline Ba2MgGa2P4 at its relaxed geometry.

Calculated values
* symmetry: No. 12
* electronic total energy: -4.39 eV/atom
* magnetization: 0.00 Bohr magnetons per cell
* calculated formation energy: -706 meV/atom
* V: 24.20 Å³/atom

Unit cell a=3.9752 b=8.0813 c=7.3833 alpha=108.06 beta=90.00 gamma=104.24
Last column: nearest neighbours and their distance in Å.
Sites, in units of the cell vectors:
Mg1 0.0000 0.0000 0.0000  4 P 2.71
Ba1 0.1231 0.2462 0.5442  7 P 3.31-3.39, 2 Ga 3.69, 1 Ba 3.70
P1 0.5199 0.0399 0.7683  1 Ga 2.34
P2 0.2142 0.4283 0.1857  3 Ga 2.45-2.58
P3 0.7858 0.5717 0.8143  3 Ga 2.45-2.58
Ba2 0.8769 0.7538 0.4558  7 P 3.31-3.39, 2 Ga 3.69, 1 Ba 3.70
Ga1 0.6660 0.3320 0.9853  4 P 2.34-2.58
P4 0.4801 0.9601 0.2317  1 Ga 2.34
Ga2 0.3340 0.6680 0.0147  4 P 2.34-2.58

---

## BaMgGaP2 (PBE-GGA)

Data for crystalline BaMgGaP2 at its relaxed geometry.

Calculated values
* symmetry: No. 13
* electronic total energy: -4.02 eV/atom
* magnetization: 0.00 Bohr magnetons per cell
* calculated formation energy: -552 meV/atom
* V: 24.23 Å³/atom

Unit cell a=5.7409 b=7.4273 c=6.2449 alpha=114.49 beta=90.00 gamma=90.00
Last column: nearest neighbours and their distance in Å.
Sites, in units of the cell vectors:
Ba1 0.7650 0.5000 0.2500  8 P 3.33-3.58, 2 Ga 3.64
Ga1 0.0000 0.0000 0.5000  2 P 2.27
Ga2 0.0000 0.0000 0.0000  2 P 2.27
P1 0.7319 0.2463 0.6224  1 Ga 2.27
P2 0.7319 0.7537 0.8776  1 Ga 2.27
Ba2 0.2350 0.5000 0.7500  8 P 3.33-3.58, 2 Ga 3.64
Mg1 0.4990 0.0000 0.7500  4 P 2.64
Mg2 0.5010 0.0000 0.2500  4 P 2.64
P3 0.2681 0.2463 0.1224  1 Ga 2.27
P4 0.2681 0.7537 0.3776  1 Ga 2.27

---

## Ba2Mg6GaPd (PBE-GGA)

Data for crystalline Ba2Mg6GaPd at its relaxed geometry.

Calculated values
* symmetry: No. 12
* electronic total energy: -2.41 eV/atom
* magnetization: 0.00 Bohr magnetons per cell
* calculated formation energy: -246 meV/atom
* V: 28.63 Å³/atom

Unit cell a=7.6180 b=7.1890 c=7.1956 alpha=60.01 beta=61.87 gamma=90.00
Last column: nearest neighbours and their distance in Å.
Sites, in units of the cell vectors:
Mg1 0.8317 0.7557 0.4877  1 Pd 2.58, 1 Ga 2.79
Mg2 0.8312 0.3192 0.9245  1 Pd 2.57, 1 Ga 2.79
Pd1 0.0000 0.0000 0.0000  6 Mg 2.57-2.58
Ba1 0.3612 0.7874 0.4258  12 Mg 3.81-3.84, 1 Pd 4.08, 3 Ga 4.24-4.25
Mg3 0.8313 0.7560 0.9248  1 Pd 2.57, 1 Ga 2.79
Mg4 0.1688 0.6808 0.0755  1 Pd 2.57, 1 Ga 2.79
Mg5 0.1687 0.2440 0.0752  1 Pd 2.57, 1 Ga 2.79
Ga1 0.5000 0.5000 0.0000  6 Mg 2.79
Ba2 0.6388 0.2126 0.5742  12 Mg 3.81-3.84, 1 Pd 4.08, 3 Ga 4.24-4.25
Mg6 0.1683 0.2443 0.5123  1 Pd 2.58, 1 Ga 2.79

---

## BaMg2GaPd (PBE-GGA)

Data for crystalline BaMg2GaPd at its relaxed geometry.

Calculated values
* symmetry: No. 123
* electronic total energy: -3.06 eV/atom
* magnetization: 0.00 Bohr magnetons per cell
* calculated formation energy: -392 meV/atom
* V: 26.10 Å³/atom

Unit cell a=5.1277 b=5.1277 c=4.9628 alpha=90.00 beta=90.00 gamma=90.00
Last column: nearest neighbours and their distance in Å.
Sites, in units of the cell vectors:
Pd1 0.0000 0.0000 0.0000  2 Ga 2.48, 4 Mg 2.56
Mg1 0.5000 0.0000 0.0000  2 Pd 2.56
Ba1 0.5000 0.5000 0.5000  8 Mg 3.57, 4 Ga 3.63
Ga1 0.0000 0.0000 0.5000  2 Pd 2.48
Mg2 0.0000 0.5000 0.0000  2 Pd 2.56